[1]
DFT (GGA-PBE) results for a relaxed Ni2OsW crystal.

Results
- ΔH_f (0 K) (eV per atom) = 0.12
- magnetization (μB per atom) = 0.000
- electronic total energy (eV per atom) = -8.821

Cell: 5.2122 7.5167 2.6701 Å, 90.00 90.00 90.00°
Last column: nearest neighbours and their distance in Å.
Space group Cmmm (No. 65)
Asymmetric unit:
Ni 0.2500 0.2500 0.0000  4 Ni 2.61-2.67, 4 W 2.65, 4 Os 2.65
Os 0.0000 0.0000 0.5000  2 W 2.61, 8 Ni 2.65, 2 Os 2.67
W 0.0000 0.5000 0.5000  2 Os 2.61, 8 Ni 2.65, 2 W 2.67


[2]
DFT (GGA-PBE) results for a relaxed TcPt2W crystal.

Results
- ΔH_f (0 K) (eV per atom) = -0.18
- magnetization (μB per atom) = 0.000
- electronic total energy (eV per atom) = -9.030

Cell: 3.8641 3.8641 8.1731 Å, 90.00 90.00 90.00°
Last column: nearest neighbours and their distance in Å.
Space group I4/mmm (No. 139)
Asymmetric unit:
Tc 0.0000 0.0000 0.0000  4 W 2.73, 8 Pt 2.81
Pt 0.0000 0.5000 0.2500  4 Pt 2.73, 4 W 2.81, 4 Tc 2.81
W 0.0000 0.0000 0.5000  4 Tc 2.73, 8 Pt 2.81


[3]
DFT (GGA-PBE) results for a relaxed YHoS crystal.

Results
- formation energy without anion corrections (eV/atom) = -1.2758
- magnetization (μB per atom) = 0.000
- electronic total energy (eV per atom) = -6.332

Cell: 12.3714 3.7940 6.6099 Å, 90.00 90.00 90.00°
Last column: nearest neighbours and their distance in Å.
Space group Pnma (No. 62)
Asymmetric unit:
Y 0.2486 0.2500 0.0795  3 S 2.71-2.72
Ho 0.0046 0.2500 0.7577  3 S 2.70
S 0.1216 0.2500 0.4130  3 Ho 2.70, 3 Y 2.71-2.72


[4]
DFT (GGA-PBE) results for a relaxed TbNdEu2 crystal.

Results
- ΔH_f (0 K) (eV per atom) = 0.10
- magnetization (μB per atom) = 3.775
- electronic total energy (eV per atom) = -7.385

Cell: 3.6953 3.6953 10.6737 Å, 90.00 90.00 90.00°
Last column: nearest neighbours and their distance in Å.
Space group P4/mmm (No. 123)
Asymmetric unit:
Tb 0.0000 0.0000 0.0000  4 Tb 3.70, 8 Eu 3.70
Nd 0.0000 0.0000 0.5000  4 Nd 3.70, 8 Eu 3.77
Eu 0.5000 0.5000 0.2457  4 Eu 3.70, 4 Tb 3.70, 4 Nd 3.77


[5]
DFT (GGA-PBE) results for a relaxed BeC2 crystal.

Results
- ΔH_f (0 K) (eV per atom) = 0.80
- magnetization (μB per atom) = 0.000
- electronic total energy (eV per atom) = -6.595

Cell: 2.4064 7.9624 4.5650 Å, 90.00 90.00 90.00°
Last column: nearest neighbours and their distance in Å.
Space group Cmcm (No. 63)
Asymmetric unit:
Be 0.0000 0.1566 0.2500  4 C 1.98-2.04
C 0.0000 0.1458 0.7500  2 C 1.43
C 0.0000 0.4502 0.2500  2 C 1.43


[6]
DFT (GGA-PBE) results for a relaxed GaPRuCl2 crystal.

Results
- formation energy without anion corrections (eV/atom) = 0.0079
- magnetization (μB per atom) = 0.000
- electronic total energy (eV per atom) = -4.273

Cell: 5.0670 5.0670 4.4498 Å, 90.00 90.00 90.00°
Last column: nearest neighbours and their distance in Å.
Space group P4/mmm (No. 123)
Asymmetric unit:
Ga 0.0000 0.0000 0.0000  8 Cl 3.37, 4 P 3.58
P 0.5000 0.5000 0.0000  2 Ru 2.22
Ru 0.5000 0.5000 0.5000  2 P 2.22
Cl 0.0000 0.5000 0.5000  2 Ru 2.53


[7]
DFT (GGA-PBE) results for a relaxed CaBrCl2 crystal.

Results
- formation energy without anion corrections (eV/atom) = -1.2152
- magnetization (μB per atom) = 0.250
- electronic total energy (eV per atom) = -3.057

Cell: 7.3320 7.3320 7.3320 Å, 90.00 90.00 90.00°
Last column: nearest neighbours and their distance in Å.
Space group Fm-3m (No. 225)
Asymmetric unit:
Ca 0.0000 0.0000 0.0000  8 Cl 3.17
Br 0.0000 0.0000 0.5000  8 Cl 3.17
Cl 0.2500 0.2500 0.2500  4 Ca 3.17, 4 Br 3.17


[8]
DFT (GGA-PBE) results for a relaxed LiAc2Sm3Se6 crystal.

Results
- formation energy without anion corrections (eV/atom) = -1.7803
- magnetization (μB per atom) = 0.000
- electronic total energy (eV per atom) = -5.547

Cell: 7.3367 12.7498 7.4560 Å, 90.00 109.37 90.00°
Last column: nearest neighbours and their distance in Å.
Space group C2/m (No. 12)
Asymmetric unit:
Li 0.0000 0.0000 0.0000  6 Se 2.95-2.96
Ac 0.0000 0.3346 0.0000  6 Se 3.09-3.11
Sm 0.0000 0.1683 0.5000  6 Se 2.94-3.06
Sm 0.0000 0.5000 0.5000  6 Se 2.94-3.09
Se 0.2306 0.0000 0.7417  3 Sm 2.95-3.09, 1 Li 2.95, 2 Ac 3.09
Se 0.2447 0.1592 0.2584  3 Sm 2.94-3.06, 1 Li 2.96, 2 Ac 3.10-3.11


[9]
DFT (GGA-PBE) results for a relaxed Ta2NbNiGe crystal.

Results
- ΔH_f (0 K) (eV per atom) = 0.77
- magnetization (μB per atom) = 0.000
- electronic total energy (eV per atom) = -8.068

Cell: 4.5843 4.5843 4.6045 Å, 90.00 90.00 90.00°
Last column: nearest neighbours and their distance in Å.
Space group P4/mmm (No. 123)
Asymmetric unit:
Ta 0.0000 0.5000 0.0000  2 Ni 2.29
Nb 0.0000 0.0000 0.5000  2 Ni 2.30
Ni 0.0000 0.0000 0.0000  4 Ta 2.29, 2 Nb 2.30
Ge 0.5000 0.5000 0.5000  4 Nb 3.24, 8 Ta 3.25


[10]
DFT (GGA-PBE) results for a relaxed Sc2MoOs crystal.

Results
- ΔH_f (0 K) (eV per atom) = 0.02
- magnetization (μB per atom) = 0.000
- electronic total energy (eV per atom) = -8.664

Cell: 5.7436 8.8385 2.9263 Å, 90.00 111.86 90.00°
Last column: nearest neighbours and their distance in Å.
Space group C2/m (No. 12)
Asymmetric unit:
Sc 0.2500 0.2500 0.0000  2 Mo 2.74, 2 Os 2.74, 4 Sc 2.87-2.93
Mo 0.0000 0.0000 0.5000  4 Sc 2.74, 2 Os 2.87, 2 Mo 2.93
Os 0.0000 0.5000 0.5000  4 Sc 2.74, 2 Mo 2.87, 2 Os 2.93


[11]
DFT (GGA-PBE) results for a relaxed Na3AlSi crystal.

Results
- formation energy without anion corrections (eV/atom) = 0.5745
- magnetization (μB per atom) = 0.001
- electronic total energy (eV per atom) = -2.050

Cell: 5.5374 5.5374 5.5374 Å, 90.00 90.00 90.00°
Last column: nearest neighbours and their distance in Å.
Space group Pm-3m (No. 221)
Asymmetric unit:
Na 0.0000 0.0000 0.5000  2 Si 2.77
Al 0.5000 0.5000 0.5000  12 Na 3.92
Si 0.0000 0.0000 0.0000  6 Na 2.77


[12]
DFT (GGA-PBE) results for a relaxed Sr2CePrCu3Pb2O10 crystal.

Results
- formation energy without anion corrections (eV/atom) = -1.9635
- magnetization (μB per atom) = 0.013
- electronic total energy (eV per atom) = -6.351

Cell: 3.8730 3.8980 18.9665 Å, 84.81 84.20 89.99°
Last column: nearest neighbours and their distance in Å.
Space group P1 (No. 1)
Asymmetric unit:
Sr 0.0000 0.0000 0.0000  9 O 2.65-2.80
Sr 0.2397 0.2669 0.5280  9 O 2.60-2.83
Ce 0.3349 0.3521 0.3346  8 O 2.29-2.52
Pr 0.9045 0.9149 0.1932  8 O 2.41-2.56
Cu 0.1203 0.1333 0.7628  2 O 1.86-1.87
Cu 0.4530 0.4589 0.0946  4 O 1.95-1.96
Cu 0.7875 0.8089 0.4311  4 O 1.95-1.96
Pb 0.5713 0.5913 0.8575  1 O 2.18
Pb 0.6691 0.6757 0.6692  1 O 2.19
O 0.0697 0.9906 0.8597  1 Cu 1.86
O 0.1712 0.2762 0.6656  1 Cu 1.87
O 0.2934 0.8138 0.4193  2 Cu 1.95
O 0.3667 0.8809 0.2698  2 Ce 2.30, 2 Pr 2.41
O 0.4483 0.9546 0.1045  2 Cu 1.96
O 0.5133 0.5091 0.9731  1 Pb 2.18, 1 Cu 2.28
O 0.7274 0.7602 0.5526  1 Pb 2.19, 1 Cu 2.28
O 0.7929 0.3138 0.4200  2 Cu 1.96
O 0.8667 0.3812 0.2699  2 Ce 2.29, 2 Pr 2.42
O 0.9475 0.4542 0.1057  2 Cu 1.95


[13]
DFT (GGA-PBE) results for a relaxed Ac2CeHoBi4 crystal.

Results
- ΔH_f (0 K) (eV per atom) = -0.89
- magnetization (μB per atom) = 0.099
- electronic total energy (eV per atom) = -5.176

Cell: 8.1466 4.7115 8.1572 Å, 90.00 109.48 90.00°
Last column: nearest neighbours and their distance in Å.
Space group P2/m (No. 10)
Asymmetric unit:
Ac 0.0000 0.0000 0.0000  6 Bi 3.44
Ac 0.5000 0.5000 0.0000  6 Bi 3.41
Ce 0.0000 0.5000 0.5000  6 Bi 3.25-3.26
Ho 0.5000 0.0000 0.5000  6 Bi 3.22
Bi 0.2466 0.0000 0.7302  1 Ho 3.22, 2 Ce 3.26, 3 Ac 3.41-3.44
Bi 0.2603 0.5000 0.2720  2 Ho 3.22, 1 Ce 3.25, 3 Ac 3.41-3.44


[14]
DFT (GGA-PBE) results for a relaxed Ac2SmF11 crystal.

Results
- formation energy without anion corrections (eV/atom) = -3.4564
- magnetization (μB per atom) = 0.154
- electronic total energy (eV per atom) = -5.851

Cell: 9.1529 10.8301 11.7978 Å, 90.00 90.00 90.00°
Last column: nearest neighbours and their distance in Å.
Space group Ibam (No. 72)
Asymmetric unit:
Ac 0.1723 0.1926 0.0000  7 F 2.43-2.62
Sm 0.0000 0.5000 0.2500  8 F 2.34
F 0.0000 0.0000 0.0000  2 F 2.17
F 0.0967 0.3314 0.1505  1 Sm 2.34, 1 Ac 2.43
F 0.1022 0.1810 0.5000  1 F 2.17
F 0.1907 0.4327 0.3666  1 Sm 2.34, 1 Ac 2.43


[15]
DFT (GGA-PBE) results for a relaxed Sr12Sn3O5 crystal.

Results
- formation energy without anion corrections (eV/atom) = -1.4998
- magnetization (μB per atom) = 0.000
- electronic total energy (eV per atom) = -4.349

Cell: 17.0160 17.0160 17.0160 Å, 90.00 90.00 90.00°
Last column: nearest neighbours and their distance in Å.
Space group Ia-3d (No. 230)
Asymmetric unit:
Sr 0.0345 0.0487 0.6505  1 O 2.43
Sn 0.0000 0.2500 0.1250  8 Sr 3.30-3.50
O 0.0000 0.0000 0.0000  6 Sr 2.75
O 0.0000 0.2500 0.3750  4 Sr 2.43


[16]
DFT (GGA-PBE) results for a relaxed RbAcAgO2 crystal.

Results
- formation energy without anion corrections (eV/atom) = -1.5662
- magnetization (μB per atom) = 0.000
- electronic total energy (eV per atom) = -5.135

Cell: 7.8827 6.3100 7.5766 Å, 90.00 115.15 90.00°
Last column: nearest neighbours and their distance in Å.
Space group P2/c (No. 13)
Asymmetric unit:
Rb 0.0000 0.1833 0.2500  2 O 2.79
Ac 0.5000 0.4945 0.7500  4 O 2.43
Ag 0.5000 0.0000 0.0000  2 O 2.12
O 0.3749 0.3046 0.4410  1 Ag 2.12


[17]
DFT (GGA-PBE) results for a relaxed Cd2AgIr crystal.

Results
- ΔH_f (0 K) (eV per atom) = 0.08
- magnetization (μB per atom) = 0.000
- electronic total energy (eV per atom) = -3.302

Cell: 6.0226 7.6202 3.1199 Å, 90.00 90.00 90.00°
Last column: nearest neighbours and their distance in Å.
Space group Cmmm (No. 65)
Asymmetric unit:
Cd 0.2500 0.2500 0.0000  4 Ir 2.89, 4 Ag 2.89, 4 Cd 3.01-3.12
Ag 0.0000 0.0000 0.5000  8 Cd 2.89, 2 Ir 3.01, 2 Ag 3.12
Ir 0.0000 0.5000 0.5000  8 Cd 2.89, 2 Ag 3.01, 2 Ir 3.12


[18]
DFT (GGA-PBE) results for a relaxed CrTc2Ni crystal.

Results
- ΔH_f (0 K) (eV per atom) = 0.08
- magnetization (μB per atom) = 0.000
- electronic total energy (eV per atom) = -8.950

Cell: 2.5857 4.1758 4.9205 Å, 90.00 101.59 90.00°
Last column: nearest neighbours and their distance in Å.
Space group Pm (No. 6)
Asymmetric unit:
Cr 0.0000 0.0000 0.0000  2 Ni 2.46, 4 Tc 2.53-2.56, 2 Cr 2.59
Tc 0.3086 0.5000 0.7891  4 Cr 2.53-2.81, 3 Ni 2.54-2.65, 4 Tc 2.59-2.75
Tc 0.5766 0.0000 0.4819  3 Cr 2.53-2.80, 4 Tc 2.59-2.75, 4 Ni 2.66-2.68
Ni 0.0031 0.5000 0.2648  2 Cr 2.46, 7 Tc 2.54-2.68, 2 Ni 2.59


[19]
DFT (GGA-PBE) results for a relaxed CuTc crystal.

Results
- ΔH_f (0 K) (eV per atom) = 0.24
- magnetization (μB per atom) = 0.000
- electronic total energy (eV per atom) = -6.990

Cell: 7.9573 7.9573 3.5313 Å, 90.00 90.00 90.00°
Last column: nearest neighbours and their distance in Å.
Space group I4/mmm (No. 139)
Asymmetric unit:
Cu 0.0000 0.3377 0.0000  5 Cu 2.54-2.58, 6 Tc 2.60-2.69
Tc 0.1615 0.1615 0.5000  4 Tc 2.57-2.66, 6 Cu 2.60-2.69


[20]
DFT (GGA-PBE) results for a relaxed PRu3Pt crystal.

Results
- ΔH_f (0 K) (eV per atom) = 0.51
- magnetization (μB per atom) = 0.000
- electronic total energy (eV per atom) = -7.343

Cell: 4.3083 4.3083 4.3083 Å, 90.00 90.00 90.00°
Last column: nearest neighbours and their distance in Å.
Space group Pm-3m (No. 221)
Asymmetric unit:
P 0.0000 0.0000 0.0000  6 Ru 2.15
Ru 0.0000 0.0000 0.5000  2 P 2.15
Pt 0.5000 0.5000 0.5000  12 Ru 3.05